Entry 1:
Nb2TlAgO6 | GGA-PBE | relaxed

The structure in POSCAR format:
```
Nb2TlAgO6
1.0
-6.272 1.620 1.551
-0.297 -0.614 7.980
-0.124 8.001 -0.320
O Tl Nb Ag
12 2 4 2
direct
0.418 0.811 0.381 O
0.791 0.091 0.246 O
0.209 0.909 0.754 O
0.082 0.619 0.189 O
0.940 0.360 0.429 O
0.560 0.571 0.640 O
0.709 0.754 0.909 O
0.291 0.246 0.091 O
0.440 0.429 0.360 O
0.582 0.189 0.619 O
0.060 0.640 0.571 O
0.918 0.381 0.811 O
0.250 0.895 0.105 Tl
0.750 0.105 0.895 Tl
0.680 0.278 0.427 Nb
0.820 0.573 0.722 Nb
0.320 0.722 0.573 Nb
0.180 0.427 0.278 Nb
0.250 0.199 0.801 Ag
0.750 0.801 0.199 Ag
```

**DOS(E_F)**: 0.0 states/eV per cell
**ΔE_f (raw)**: -1869.8 meV/atom

=====

Entry 2:
UNbAgO6 | GGA-PBE | relaxed

The structure in POSCAR format:
```
UNbAgO6
1.0
5.591 0.000 0.000
-2.796 4.842 0.000
0.000 0.000 9.989
O Nb Ag U
12 2 2 2
direct
0.991 0.621 0.357 O
0.009 0.379 0.643 O
0.630 0.621 0.143 O
0.621 0.991 0.857 O
0.370 0.991 0.643 O
0.379 0.370 0.357 O
0.009 0.630 0.857 O
0.621 0.630 0.643 O
0.379 0.009 0.143 O
0.370 0.379 0.857 O
0.630 0.009 0.357 O
0.991 0.370 0.143 O
0.667 0.333 0.250 Nb
0.333 0.667 0.750 Nb
0.000 0.000 0.000 Ag
0.000 0.000 0.500 Ag
0.667 0.333 0.750 U
0.333 0.667 0.250 U
```

**ΔE_f (raw)**: -2332.6 meV/atom

=====

Question: Which value of ΔE_f (raw) does entry 1 give?
Answer: -1869.8 meV/atom